# 1
! Th3ZnSi2 (PBE-GGA, relaxed); values from VASP
! **Crystal system**: orthorhombic
! **Space group**: Pnma, No. 62
! **ΔE_f (raw)**: -0.513 eV per atom
! **Total moment**: 0.00 μB/f.u.
&SYSTEM
  ibrav = 0, nat = 24, ntyp = 3
/
ATOMIC_SPECIES
Th 232.04 Th.upf
Zn 65.41 Zn.upf
Si 28.09 Si.upf
CELL_PARAMETERS angstrom
-2.9942 -2.7402 0.9283
5.4817 -2.5817 10.0604
-6.1905 8.6597 5.5953
ATOMIC_POSITIONS crystal
Th 0.2500 0.3808 0.0548
Th 0.7500 0.6192 0.9452
Th 0.7500 0.8808 0.4452
Th 0.2500 0.1192 0.5548
Th 0.2500 0.7129 0.2042
Th 0.7500 0.2871 0.7958
Th 0.7500 0.2129 0.2958
Th 0.2500 0.7871 0.7042
Th 0.2500 0.4353 0.3817
Th 0.7500 0.5647 0.6183
Th 0.7500 0.9353 0.1183
Th 0.2500 0.0647 0.8817
Zn 0.2500 0.1282 0.1311
Zn 0.7500 0.8718 0.8689
Zn 0.7500 0.6282 0.3689
Zn 0.2500 0.3718 0.6311
Si 0.2500 0.6888 0.4711
Si 0.7500 0.3112 0.5289
Si 0.7500 0.1888 0.0289
Si 0.2500 0.8112 0.9711
Si 0.2500 0.0081 0.3065
Si 0.7500 0.9919 0.6935
Si 0.7500 0.5081 0.1935
Si 0.2500 0.4919 0.8065

***

# 2
! ThZnSi (PBE-GGA, relaxed); values from VASP
! **Crystal system**: tetragonal
! **Space group**: I4mm, No. 107
! **ΔE_f (raw)**: -0.075 eV per atom
! **Total moment**: 0.00 μB/f.u.
&SYSTEM
  ibrav = 0, nat = 3, ntyp = 3
/
ATOMIC_SPECIES
Zn 65.41 Zn.upf
Si 28.09 Si.upf
Th 232.04 Th.upf
CELL_PARAMETERS angstrom
-3.5161 1.9963 0.4668
-1.0483 -2.5470 2.9966
4.0998 2.8220 1.0687
ATOMIC_POSITIONS crystal
Zn 0.2678 0.2678 0.5356
Si 0.9688 0.9688 0.9376
Th 0.6134 0.6134 0.2268

***

# 3
! ThZn3Si (PBE-GGA, relaxed); values from VASP
! **Crystal system**: orthorhombic
! **Space group**: Cmcm, No. 63
! **ΔE_f (raw)**: -0.375 eV per atom
! **Total moment**: 0.00 μB/f.u.
&SYSTEM
  ibrav = 0, nat = 10, ntyp = 3
/
ATOMIC_SPECIES
Th 232.04 Th.upf
Zn 65.41 Zn.upf
Si 28.09 Si.upf
CELL_PARAMETERS angstrom
-3.3761 3.1297 3.7108
1.2569 -3.8752 4.4118
3.4854 4.7472 -0.8327
ATOMIC_POSITIONS crystal
Th 0.2500 0.5081 0.7541
Th 0.7500 0.4919 0.2459
Zn 0.5000 0.0000 0.2624
Zn 0.5000 0.0000 0.7376
Zn 0.0000 0.0000 0.2624
Zn 0.0000 0.0000 0.7376
Zn 0.2500 0.2515 0.1258
Zn 0.7500 0.7485 0.8742
Si 0.2500 0.7132 0.3566
Si 0.7500 0.2868 0.6434

***

# 4
! ThZnSi (PBE-GGA, relaxed); values from VASP
! **Crystal system**: tetragonal
! **Space group**: I-4m2, No. 119
! **ΔE_f (raw)**: -0.592 eV per atom
! **Total moment**: 0.00 μB/f.u.
&SYSTEM
  ibrav = 0, nat = 6, ntyp = 3
/
ATOMIC_SPECIES
Th 232.04 Th.upf
Zn 65.41 Zn.upf
Si 28.09 Si.upf
CELL_PARAMETERS angstrom
-1.4074 3.5294 1.7459
-0.3948 -1.9712 3.6666
7.6884 1.0734 -0.9796
ATOMIC_POSITIONS crystal
Th 0.2500 0.7500 0.5000
Th 0.5000 0.5000 0.0000
Zn 0.8338 0.3338 0.6676
Zn 0.6662 0.1662 0.3324
Si 0.9176 0.9176 0.8352
Si 0.0824 0.0824 0.1648

***

# 5
! ThZnSi (PBE-GGA, relaxed); values from VASP
! **Crystal system**: hexagonal
! **Space group**: P-6m2, No. 187
! **ΔE_f (raw)**: -0.616 eV per atom
! **Total moment**: 0.00 μB/f.u.
&SYSTEM
  ibrav = 0, nat = 3, ntyp = 3
/
ATOMIC_SPECIES
Zn 65.41 Zn.upf
Si 28.09 Si.upf
Th 232.04 Th.upf
CELL_PARAMETERS angstrom
4.2158 0.0000 0.0000
0.0000 4.1666 0.0000
0.0000 -2.0833 3.6084
ATOMIC_POSITIONS crystal
Zn 0.1660 0.0000 0.0000
Si 0.1672 0.3333 0.6667
Th 0.6668 0.6667 0.3333

***

# 6
! Th2ZnSi3 (PBE-GGA, relaxed); values from VASP
! **Crystal system**: orthorhombic
! **Space group**: Pmm2, No. 25
! **ΔE_f (raw)**: -0.606 eV per atom
! **Total moment**: 0.00 μB/f.u.
&SYSTEM
  ibrav = 0, nat = 6, ntyp = 3
/
ATOMIC_SPECIES
Th 232.04 Th.upf
Zn 65.41 Zn.upf
Si 28.09 Si.upf
CELL_PARAMETERS angstrom
-3.8848 1.4764 0.4997
-1.2633 -3.7744 1.3298
1.5576 1.8350 6.6878
ATOMIC_POSITIONS crystal
Th 0.0000 0.5000 0.9913
Th 0.0000 0.0000 0.5119
Zn 0.5000 0.5000 0.3328
Si 0.5000 0.0000 0.8299
Si 0.5000 0.0000 0.1651
Si 0.5000 0.5000 0.6690

***

# 7
! Th3Zn2Si3 (PBE-GGA, relaxed); values from VASP
! **Crystal system**: orthorhombic
! **Space group**: Cmcm, No. 63
! **ΔE_f (raw)**: -0.551 eV per atom
! **Total moment**: 0.00 μB/f.u.
&SYSTEM
  ibrav = 0, nat = 16, ntyp = 3
/
ATOMIC_SPECIES
Th 232.04 Th.upf
Zn 65.41 Zn.upf
Si 28.09 Si.upf
CELL_PARAMETERS angstrom
4.1513 0.0000 0.0000
-2.0756 5.5367 0.0000
0.0000 0.0000 15.3686
ATOMIC_POSITIONS crystal
Th 0.8599 0.7197 0.4043
Th 0.1401 0.2803 0.9043
Th 0.8599 0.7197 0.0957
Th 0.1401 0.2803 0.5957
Th 0.5603 0.1206 0.2500
Th 0.4397 0.8794 0.7500
Zn 0.8526 0.7052 0.8831
Zn 0.1474 0.2948 0.3831
Zn 0.8526 0.7052 0.6169
Zn 0.1474 0.2948 0.1169
Si 0.5755 0.1509 0.4465
Si 0.4245 0.8491 0.9465
Si 0.5755 0.1509 0.0535
Si 0.4245 0.8491 0.5535
Si 0.2836 0.5673 0.2500
Si 0.7164 0.4327 0.7500

***

# 8
! Th3Zn9Si2 (PBE-GGA, relaxed); values from VASP
! **Crystal system**: orthorhombic
! **Space group**: Immm, No. 71
! **ΔE_f (raw)**: -0.277 eV per atom
! **Total moment**: 0.00 μB/f.u.
&SYSTEM
  ibrav = 0, nat = 14, ntyp = 3
/
ATOMIC_SPECIES
Th 232.04 Th.upf
Zn 65.41 Zn.upf
Si 28.09 Si.upf
CELL_PARAMETERS angstrom
4.2217 0.0000 1.1339
1.6070 7.6944 2.4428
0.0527 0.1476 8.2297
ATOMIC_POSITIONS crystal
Th 0.0000 0.0000 0.0000
Th 0.6837 0.3163 0.3163
Th 0.3163 0.6837 0.6837
Zn 0.0000 0.5000 0.5000
Zn 0.6626 0.9677 0.7070
Zn 0.3374 0.0323 0.2930
Zn 0.6626 0.7070 0.9677
Zn 0.3374 0.2930 0.0323
Zn 0.8582 0.8705 0.4131
Zn 0.1418 0.1295 0.5869
Zn 0.8582 0.4131 0.8705
Zn 0.1418 0.5869 0.1295
Si 0.5000 0.2768 0.7232
Si 0.5000 0.7232 0.2768

***

# 9
! Th2ZnSi3 (PBE-GGA, relaxed); values from VASP
! **Crystal system**: orthorhombic
! **Space group**: Imm2, No. 44
! **ΔE_f (raw)**: -0.614 eV per atom
! **Total moment**: 0.00 μB/f.u.
&SYSTEM
  ibrav = 0, nat = 6, ntyp = 3
/
ATOMIC_SPECIES
Th 232.04 Th.upf
Zn 65.41 Zn.upf
Si 28.09 Si.upf
CELL_PARAMETERS angstrom
4.0580 0.0000 -1.0802
-0.3045 4.0250 -1.1439
-0.1255 -0.0102 7.6914
ATOMIC_POSITIONS crystal
Th 0.1302 0.1302 0.2605
Th 0.8688 0.3688 0.7376
Zn 0.4597 0.9597 0.9195
Si 0.7088 0.7088 0.4176
Si 0.5414 0.5414 0.0828
Si 0.2910 0.7910 0.5821

***

# 10
! Th3Zn2Si4 (PBE-GGA, relaxed); values from VASP
! **Crystal system**: monoclinic
! **Space group**: C2/m, No. 12
! **ΔE_f (raw)**: -0.603 eV per atom
! **Total moment**: 0.00 μB/f.u.
&SYSTEM
  ibrav = 0, nat = 9, ntyp = 3
/
ATOMIC_SPECIES
Th 232.04 Th.upf
Zn 65.41 Zn.upf
Si 28.09 Si.upf
CELL_PARAMETERS angstrom
-0.0381 -2.1134 3.5845
5.4569 1.8556 -1.2634
-2.7831 6.7362 3.9421
ATOMIC_POSITIONS crystal
Th 0.6647 0.3294 0.6710
Th 0.0000 0.0000 0.0000
Th 0.3353 0.6706 0.3290
Zn 0.6134 0.2268 0.2803
Zn 0.3866 0.7732 0.7197
Si 0.7221 0.4441 0.0533
Si 0.2779 0.5559 0.9467
Si 0.9417 0.8835 0.6088
Si 0.0583 0.1165 0.3912

***

# 11
! ThZn4Si2 (PBE-GGA, relaxed); values from VASP
! **Crystal system**: monoclinic
! **Space group**: P2/m, No. 10
! **ΔE_f (raw)**: -0.250 eV per atom
! **Total moment**: 0.00 μB/f.u.
&SYSTEM
  ibrav = 0, nat = 7, ntyp = 3
/
ATOMIC_SPECIES
Th 232.04 Th.upf
Zn 65.41 Zn.upf
Si 28.09 Si.upf
CELL_PARAMETERS angstrom
3.9714 0.0000 -0.8567
0.0000 4.0540 0.0000
-0.5268 0.0000 7.6585
ATOMIC_POSITIONS crystal
Th 0.0000 0.0000 0.0000
Zn 0.1874 0.5000 0.3694
Zn 0.3098 0.0000 0.6220
Zn 0.8126 0.5000 0.6306
Zn 0.6902 0.0000 0.3780
Si 0.4184 0.5000 0.8386
Si 0.5816 0.5000 0.1614

***

# 12
! Th3Zn3Si2 (PBE-GGA, relaxed); values from VASP
! **Crystal system**: orthorhombic
! **Space group**: Cmcm, No. 63
! **ΔE_f (raw)**: -0.471 eV per atom
! **Total moment**: 0.00 μB/f.u.
&SYSTEM
  ibrav = 0, nat = 16, ntyp = 3
/
ATOMIC_SPECIES
Th 232.04 Th.upf
Zn 65.41 Zn.upf
Si 28.09 Si.upf
CELL_PARAMETERS angstrom
4.1246 0.0000 0.0000
-2.0623 5.5982 0.0000
0.0000 0.0000 15.7024
ATOMIC_POSITIONS crystal
Th 0.8531 0.7062 0.4090
Th 0.1469 0.2938 0.9090
Th 0.8531 0.7062 0.0910
Th 0.1469 0.2938 0.5910
Th 0.5655 0.1310 0.2500
Th 0.4345 0.8690 0.7500
Zn 0.5714 0.1427 0.4443
Zn 0.4286 0.8573 0.9443
Zn 0.5714 0.1427 0.0557
Zn 0.4286 0.8573 0.5557
Zn 0.2923 0.5847 0.2500
Zn 0.7077 0.4153 0.7500
Si 0.8538 0.7077 0.8823
Si 0.1462 0.2923 0.3823
Si 0.8538 0.7077 0.6177
Si 0.1462 0.2923 0.1177

***

# 13
! Th2Zr3Si4 (PBE-GGA, relaxed); values from VASP
! **Crystal system**: monoclinic
! **Space group**: P2_1/c, No. 14
! **ΔE_f (raw)**: -0.870 eV per atom
! **Total moment**: 0.00 μB/f.u.
&SYSTEM
  ibrav = 0, nat = 18, ntyp = 3
/
ATOMIC_SPECIES
Th 232.04 Th.upf
Zr 91.22 Zr.upf
Si 28.09 Si.upf
CELL_PARAMETERS angstrom
7.2645 -0.0005 0.0000
-2.3873 7.0437 0.0000
0.0000 0.0000 7.4355
ATOMIC_POSITIONS crystal
Th 0.5690 0.1909 0.3288
Th 0.9310 0.8091 0.8288
Th 0.4310 0.8091 0.6712
Th 0.0690 0.1909 0.1712
Zr 0.0000 0.5000 0.5000
Zr 0.5000 0.5000 0.0000
Zr 0.7485 0.2518 0.8256
Zr 0.7515 0.7482 0.3256
Zr 0.2515 0.7482 0.1744
Zr 0.2485 0.2518 0.6744
Si 0.8694 0.0848 0.5365
Si 0.6306 0.9152 0.0365
Si 0.1306 0.9152 0.4635
Si 0.3694 0.0848 0.9635
Si 0.8724 0.4962 0.1244
Si 0.6276 0.5038 0.6244
Si 0.1276 0.5038 0.8756
Si 0.3724 0.4962 0.3756

***

# 14
! ThZr4Si4 (PBE-GGA, relaxed); values from VASP
! **Crystal system**: tetragonal
! **Space group**: P4_2/n, No. 86
! **ΔE_f (raw)**: -0.529 eV per atom
! **Total moment**: 0.00 μB/f.u.
&SYSTEM
  ibrav = 0, nat = 18, ntyp = 3
/
ATOMIC_SPECIES
Th 232.04 Th.upf
Zr 91.22 Zr.upf
Si 28.09 Si.upf
CELL_PARAMETERS angstrom
-3.6405 -1.7168 -3.4671
-3.3813 -5.2606 6.1552
-5.4226 6.4248 2.5123
ATOMIC_POSITIONS crystal
Th 0.0000 0.0000 0.0000
Th 0.5000 0.5000 0.5000
Zr 0.3782 0.3585 0.8822
Zr 0.8782 0.6178 0.8585
Zr 0.3782 0.6415 0.1178
Zr 0.1218 0.1415 0.6178
Zr 0.6218 0.8822 0.6415
Zr 0.1218 0.8585 0.3822
Zr 0.8782 0.3822 0.1415
Zr 0.6218 0.1178 0.3585
Si 0.6145 0.8061 0.3437
Si 0.6145 0.1939 0.6563
Si 0.1145 0.8437 0.6939
Si 0.8855 0.3061 0.8437
Si 0.8855 0.6939 0.1563
Si 0.3855 0.3437 0.1939
Si 0.3855 0.6563 0.8061
Si 0.1145 0.1563 0.3061

***

# 15
! ThZrSi (PBE-GGA, relaxed); values from VASP
! **Crystal system**: orthorhombic
! **Space group**: Cmce, No. 64
! **ΔE_f (raw)**: -0.380 eV per atom
! **Total moment**: 0.00 μB/f.u.
&SYSTEM
  ibrav = 0, nat = 12, ntyp = 3
/
ATOMIC_SPECIES
Si 28.09 Si.upf
Zr 91.22 Zr.upf
Th 232.04 Th.upf
CELL_PARAMETERS angstrom
6.7567 0.0000 0.0000
0.0000 7.1745 1.5378
0.0000 1.7641 6.4913
ATOMIC_POSITIONS crystal
Si 0.5000 0.2119 0.6440
Si 0.0000 0.7881 0.8560
Si 0.5000 0.7881 0.3560
Si 0.0000 0.2119 0.1440
Zr 0.7500 0.0000 0.4871
Zr 0.7500 0.0000 0.9871
Zr 0.2500 0.0000 0.5129
Zr 0.2500 0.0000 0.0129
Th 0.3240 0.4999 0.1727
Th 0.1760 0.4999 0.6727
Th 0.6760 0.5001 0.8273
Th 0.8240 0.5001 0.3273

***

# 16
! ThZrSi2 (PBE-GGA, relaxed); values from VASP
! **Crystal system**: trigonal
! **Space group**: R-3m, No. 166
! **ΔE_f (raw)**: -0.628 eV per atom
! **Total moment**: 0.00 μB/f.u.
&SYSTEM
  ibrav = 0, nat = 4, ntyp = 3
/
ATOMIC_SPECIES
Si 28.09 Si.upf
Zr 91.22 Zr.upf
Th 232.04 Th.upf
CELL_PARAMETERS angstrom
4.0510 0.0000 0.0000
2.0255 3.5083 0.0000
2.0255 1.1694 6.5639
ATOMIC_POSITIONS crystal
Si 0.2596 0.2596 0.2212
Si 0.7404 0.7404 0.7788
Zr 0.0000 0.0000 0.0000
Th 0.5000 0.5000 0.5000

***

# 17
! Th2ZrSi2 (PBE-GGA, relaxed); values from VASP
! **Crystal system**: tetragonal
! **Space group**: P4/mbm, No. 127
! **ΔE_f (raw)**: -0.690 eV per atom
! **Total moment**: 0.00 μB/f.u.
&SYSTEM
  ibrav = 0, nat = 10, ntyp = 3
/
ATOMIC_SPECIES
Th 232.04 Th.upf
Zr 91.22 Zr.upf
Si 28.09 Si.upf
CELL_PARAMETERS angstrom
4.3393 0.0000 0.0000
0.0000 7.3830 0.0000
0.0000 0.0000 7.3830
ATOMIC_POSITIONS crystal
Th 0.5000 0.1814 0.6814
Th 0.5000 0.6814 0.8186
Th 0.5000 0.8186 0.3186
Th 0.5000 0.3186 0.1814
Zr 0.0000 0.0000 0.0000
Zr 0.0000 0.5000 0.5000
Si 0.0000 0.3805 0.8805
Si 0.0000 0.8805 0.6195
Si 0.0000 0.6195 0.1195
Si 0.0000 0.1195 0.3805

***

# 18
! Th3ZrSi6 (PBE-GGA, relaxed); values from VASP
! **Crystal system**: trigonal
! **Space group**: R-3c, No. 167
! **ΔE_f (raw)**: -0.611 eV per atom
! **Total moment**: 0.00 μB/f.u.
&SYSTEM
  ibrav = 0, nat = 20, ntyp = 3
/
ATOMIC_SPECIES
Th 232.04 Th.upf
Zr 91.22 Zr.upf
Si 28.09 Si.upf
CELL_PARAMETERS angstrom
-5.6257 -4.6582 2.0484
5.5131 -3.2987 4.0333
-1.5521 5.6030 4.8724
ATOMIC_POSITIONS crystal
Th 0.1875 0.7500 0.3125
Th 0.3125 0.1875 0.7500
Th 0.2500 0.6875 0.8125
Th 0.7500 0.3125 0.1875
Th 0.6875 0.8125 0.2500
Th 0.8125 0.2500 0.6875
Zr 0.0000 0.0000 0.0000
Zr 0.5000 0.5000 0.5000
Si 0.9079 0.6215 0.9792
Si 0.0208 0.0921 0.3785
Si 0.1215 0.4079 0.4792
Si 0.3785 0.0208 0.0921
Si 0.4079 0.4792 0.1215
Si 0.5208 0.8785 0.5921
Si 0.4792 0.1215 0.4079
Si 0.5921 0.5208 0.8785
Si 0.6215 0.9792 0.9079
Si 0.8785 0.5921 0.5208
Si 0.9792 0.9079 0.6215
Si 0.0921 0.3785 0.0208

***

# 19
! ThZrSi4 (PBE-GGA, relaxed); values from VASP
! **Crystal system**: orthorhombic
! **Space group**: Pbam, No. 55
! **ΔE_f (raw)**: -0.497 eV per atom
! **Total moment**: 0.00 μB/f.u.
&SYSTEM
  ibrav = 0, nat = 24, ntyp = 3
/
ATOMIC_SPECIES
Th 232.04 Th.upf
Zr 91.22 Zr.upf
Si 28.09 Si.upf
CELL_PARAMETERS angstrom
-1.9229 -2.0847 -2.6002
6.4053 -1.8523 -3.2518
1.1041 -12.8878 9.5161
ATOMIC_POSITIONS crystal
Th 0.0000 0.6319 0.3345
Th 0.0000 0.3681 0.6655
Th 0.0000 0.1319 0.1655
Th 0.0000 0.8681 0.8345
Zr 0.0000 0.6326 0.0874
Zr 0.0000 0.3674 0.9126
Zr 0.0000 0.1326 0.4126
Zr 0.0000 0.8674 0.5874
Si 0.5000 0.7904 0.1948
Si 0.5000 0.2096 0.8052
Si 0.5000 0.2904 0.3052
Si 0.5000 0.7096 0.6948
Si 0.5000 0.8971 0.0558
Si 0.5000 0.1029 0.9442
Si 0.5000 0.3971 0.4442
Si 0.5000 0.6029 0.5558
Si 0.5000 0.8580 0.4549
Si 0.5000 0.1420 0.5451
Si 0.5000 0.3580 0.0451
Si 0.5000 0.6420 0.9549
Si 0.5000 0.9698 0.3115
Si 0.5000 0.0302 0.6885
Si 0.5000 0.4698 0.1885
Si 0.5000 0.5302 0.8115

***

# 20
! TiSi (PBE-GGA, relaxed); values from VASP
! **Crystal system**: cubic
! **Space group**: I-43m, No. 217
! **ΔE_f (raw)**: 0.635 eV per atom
! **Total moment**: 0.00 μB/f.u.
&SYSTEM
  ibrav = 0, nat = 16, ntyp = 2
/
ATOMIC_SPECIES
Ti 47.87 Ti.upf
Si 28.09 Si.upf
CELL_PARAMETERS angstrom
7.9125 0.0000 0.0000
0.0000 7.9125 0.0000
0.0000 0.0000 7.9125
ATOMIC_POSITIONS crystal
Ti 0.3521 0.3521 0.3521
Ti 0.3521 0.6479 0.6479
Ti 0.6479 0.3521 0.6479
Ti 0.6479 0.6479 0.3521
Ti 0.8521 0.8521 0.8521
Ti 0.8521 0.1479 0.1479
Ti 0.1479 0.8521 0.1479
Ti 0.1479 0.1479 0.8521
Si 0.1662 0.1662 0.1662
Si 0.1662 0.8338 0.8338
Si 0.8338 0.1662 0.8338
Si 0.8338 0.8338 0.1662
Si 0.6662 0.6662 0.6662
Si 0.6662 0.3338 0.3338
Si 0.3338 0.6662 0.3338
Si 0.3338 0.3338 0.6662